Density functional theory data (GGA-PBE) for a relaxed Pm2ErTlHg4 crystal.

Cell lengths 5.2397, 5.2397, 9.3683 Å; angles 73.76, 73.76, 60.00 degrees
With the nearest neighbours (Å) after each atom.
Positions (direct):
Pm (0.7417, 0.7417, 0.7749)  8 Hg 3.11-3.41
Pm (0.2583, 0.2583, 0.2251)  8 Hg 3.11-3.41
Er (0.5000, 0.5000, 0.5000)  8 Hg 3.14
Tl (0.0000, 0.0000, 0.0000)  8 Hg 3.29-3.57, 6 Pm 3.62
Hg (0.3821, 0.3821, 0.8538)  4 Pm 3.11-3.29, 1 Er 3.14, 3 Tl 3.29
Hg (0.8656, 0.8656, 0.4031)  3 Er 3.14, 4 Pm 3.30-3.41, 3 Hg 3.48
Hg (0.1344, 0.1344, 0.5969)  3 Er 3.14, 4 Pm 3.30-3.41, 3 Hg 3.48
Hg (0.6179, 0.6179, 0.1462)  4 Pm 3.11-3.29, 1 Er 3.14, 3 Tl 3.29

Values from the calculation:
**DOS at the Fermi energy**: 4.95 states/eV/f.u.
**Space-group type**: R-3m, No. 166
**Energy of formation**: -0.420 eV/atom
**VASP energy**: -21.00 eV per cell